(1)
This record from Alexandria describes a relaxed Li3InPt crystal. The functional is PBE-GGA.

Unit cell a=7.0744 b=8.0256 c=7.0744 alpha=63.91 beta=75.85 gamma=63.91
Positions (direct):
Pt (0.6181, 0.7500, 0.3819)
Pt (0.3819, 0.2500, 0.6181)
Pt (0.8740, 0.2500, 0.1260)
Pt (0.1260, 0.7500, 0.8740)
Li (0.0496, 0.1326, 0.8009)
Li (0.4357, 0.5621, 0.1614)
Li (0.1991, 0.3674, 0.9504)
Li (0.0931, 0.4709, 0.3133)
Li (0.5643, 0.4379, 0.8386)
Li (0.6867, 0.0291, 0.9069)
Li (0.3133, 0.9709, 0.0931)
Li (0.8009, 0.6326, 0.0496)
Li (0.9504, 0.8674, 0.1991)
Li (0.8386, 0.9379, 0.5643)
Li (0.1614, 0.0621, 0.4357)
Li (0.9069, 0.5291, 0.6867)
In (0.5205, 0.1548, 0.2569)
In (0.2569, 0.6548, 0.5205)
In (0.7431, 0.3452, 0.4795)
In (0.4795, 0.8452, 0.7431)

calculated volume	16.17	Å³/atom
SG	C2/c, No. 15
magnetic moment	0.00	μB per formula unit
theoretical density	6.79	g/cm3
energy relative to the elements	-0.45	eV per atom
energy above the lowest structure with this stoichiometry	0.000	eV per atom

=====

(2)
This record from Alexandria describes a relaxed MgPtW2 crystal. The functional is PBE-GGA.

Unit cell a=2.7621 b=2.7621 c=8.5573 alpha=90.00 beta=90.00 gamma=90.00
Positions (direct):
Mg (0.0000, 0.0000, 0.5169)
W (0.5000, 0.5000, 0.2450)
W (0.0000, 0.0000, 0.9827)
Pt (0.5000, 0.5000, 0.7555)

calculated volume	16.32	Å³/atom
SG	P4mm, No. 99
magnetic moment	0.00	μB per formula unit
theoretical density	14.93	g/cm3
energy relative to the elements	-0.02	eV per atom

=====

(3)
This record from Alexandria describes a relaxed Li2Ag3Pd crystal. The functional is PBE-GGA.

Unit cell a=4.9214 b=5.6213 c=8.6266 alpha=90.00 beta=90.00 gamma=55.29
Positions (direct):
Ag (0.4997, 0.2491, 0.5000)
Ag (0.5005, 0.2505, 0.8330)
Ag (0.0003, 0.7509, 0.0000)
Ag (0.9995, 0.7495, 0.6670)
Ag (0.9995, 0.7495, 0.3330)
Ag (0.5005, 0.2505, 0.1670)
Li (0.4997, 0.7507, 0.1674)
Li (0.0003, 0.2493, 0.3326)
Li (0.0003, 0.2493, 0.6674)
Li (0.4997, 0.7507, 0.8326)
Pd (0.4998, 0.7490, 0.5000)
Pd (0.0002, 0.2510, 0.0000)

calculated volume	16.35	Å³/atom
SG	P2_1/m, No. 11
magnetic moment	0.00	μB per formula unit
theoretical density	7.51	g/cm3
energy relative to the elements	-0.21	eV per atom
energy above the lowest structure with this stoichiometry	0.000	eV per atom

=====

(4)
This record from Alexandria describes a relaxed Nd2ThTe2P2 crystal. The functional is PBE-GGA.

Unit cell a=5.3714 b=5.3714 c=8.8055 alpha=107.76 beta=107.76 gamma=90.00
Positions (direct):
P (0.5000, 0.0000, 0.0000)
P (0.0000, 0.5000, 0.0000)
Te (0.8066, 0.8066, 0.6132)
Te (0.1934, 0.1934, 0.3868)
Nd (0.3876, 0.3876, 0.7752)
Nd (0.6124, 0.6124, 0.2248)
Th (0.0000, 0.0000, 0.0000)

calculated volume	32.74	Å³/atom
SG	I4/mmm, No. 139
magnetic moment	0.00	μB per formula unit
formation energy (no corrections)	-7.3	eV per formula unit
theoretical density	6.07	g/cm3

=====

(5)
This record from Alexandria describes a relaxed TiMnTe4 crystal. The functional is PBE-GGA.

Unit cell a=3.7447 b=7.9528 c=6.4505 alpha=113.46 beta=90.00 gamma=103.62
Site moments in Bohr magnetons follow the coordinates.
Positions (direct):
Te (0.6180, 0.2360, 0.9580)  -0.07
Te (0.3820, 0.7640, 0.0420)  -0.07
Te (0.8788, 0.7576, 0.5547)  -0.05
Te (0.1212, 0.2424, 0.4453)  -0.05
Ti (0.5000, 0.0000, 0.5000)  -0.02
Mn (0.0000, 0.0000, 0.0000)  3.03

calculated volume	28.39	Å³/atom
SG	C2/m, No. 12
magnetic moment	2.77	μB per formula unit
formation energy (no corrections)	-2.6	eV per formula unit
theoretical density	5.98	g/cm3

=====

(6)
This record from Alexandria describes a relaxed PdPt crystal. The functional is PBE-GGA.

Unit cell a=3.9734 b=3.9734 c=7.8487 alpha=90.00 beta=90.00 gamma=90.00
Site moments in Bohr magnetons follow the coordinates.
Positions (direct):
Pt (0.0000, 0.0000, 0.0000)  0.28
Pt (0.5000, 0.0000, 0.7500)  0.28
Pt (0.5000, 0.5000, 0.5000)  0.28
Pt (0.0000, 0.5000, 0.2500)  0.28
Pd (0.5000, 0.5000, 0.0000)  0.19
Pd (0.5000, 0.0000, 0.2500)  0.19
Pd (0.0000, 0.0000, 0.5000)  0.19
Pd (0.0000, 0.5000, 0.7500)  0.19

calculated volume	15.49	Å³/atom
SG	I4_1/amd, No. 141
magnetic moment	0.46	μB per formula unit
theoretical density	16.16	g/cm3
energy relative to the elements	-0.03	eV per atom

=====

Repeat the sixth record exactly.
This record from Alexandria describes a relaxed PdPt crystal. The functional is PBE-GGA.

Unit cell a=3.9734 b=3.9734 c=7.8487 alpha=90.00 beta=90.00 gamma=90.00
Site moments in Bohr magnetons follow the coordinates.
Positions (direct):
Pt (0.0000, 0.0000, 0.0000)  0.28
Pt (0.5000, 0.0000, 0.7500)  0.28
Pt (0.5000, 0.5000, 0.5000)  0.28
Pt (0.0000, 0.5000, 0.2500)  0.28
Pd (0.5000, 0.5000, 0.0000)  0.19
Pd (0.5000, 0.0000, 0.2500)  0.19
Pd (0.0000, 0.0000, 0.5000)  0.19
Pd (0.0000, 0.5000, 0.7500)  0.19

calculated volume	15.49	Å³/atom
SG	I4_1/amd, No. 141
magnetic moment	0.46	μB per formula unit
theoretical density	16.16	g/cm3
energy relative to the elements	-0.03	eV per atom